(P)
# AlCuSb2 | Alexandria | SCAN | single point on PBEsol structure
# V ... 81.8 Å³/cell
data_AlCuSb2
_space_group_name_H-M_alt 'P m m m'
_space_group_IT_number 47
_space_group_name_Hall '-P 2 2'
_cell_length_a 3.8928
_cell_length_b 4.0750
_cell_length_c 5.1548
_cell_angle_alpha 90.00
_cell_angle_beta 90.00
_cell_angle_gamma 90.00
loop_
_atom_site_label
_atom_site_type_symbol
_atom_site_fract_x
_atom_site_fract_y
_atom_site_fract_z
Al1 Al 0.0000 0.0000 0.0000
Cu1 Cu 0.0000 0.5000 0.5000
Sb1 Sb 0.5000 0.0000 0.5000
Sb2 Sb 0.5000 0.5000 0.0000

---

(Q)
# AlCuSb2 | Alexandria | SCAN | single point on PBEsol structure
# V ... 80.8 Å³/cell
data_AlCuSb2
_space_group_name_H-M_alt 'P 4/m m m'
_space_group_IT_number 123
_space_group_name_Hall '-P 4 2'
_cell_length_a 3.2478
_cell_length_b 3.2478
_cell_length_c 7.6630
_cell_angle_alpha 90.00
_cell_angle_beta 90.00
_cell_angle_gamma 90.00
loop_
_atom_site_label
_atom_site_type_symbol
_atom_site_fract_x
_atom_site_fract_y
_atom_site_fract_z
Al1 Al 0.0000 0.0000 0.0000
Cu1 Cu 0.0000 0.0000 0.5000
Sb1 Sb 0.5000 0.5000 0.2729

---

Order from most stable to least stable according to the calculation: (Q), (P)

---

(P)
# AlCuSb2 | Alexandria | SCAN | single point on PBEsol structure
# V ... 85.8 Å³/cell
data_AlCuSb2
_space_group_name_H-M_alt 'P 4 m m'
_space_group_IT_number 99
_space_group_name_Hall 'P 4 -2'
_cell_length_a 3.4431
_cell_length_b 3.4431
_cell_length_c 7.2417
_cell_angle_alpha 90.00
_cell_angle_beta 90.00
_cell_angle_gamma 90.00
loop_
_atom_site_label
_atom_site_type_symbol
_atom_site_fract_x
_atom_site_fract_y
_atom_site_fract_z
Al1 Al 0.0000 0.0000 0.0000
Cu1 Cu 0.5000 0.5000 0.1697
Sb1 Sb 0.0000 0.0000 0.3730
Sb2 Sb 0.5000 0.5000 0.7950

---

(Q)
# AlCuSb2 | Alexandria | SCAN | single point on PBEsol structure
# V ... 160.4 Å³/cell
data_AlCuSb2
_space_group_name_H-M_alt 'I 4/m m m'
_space_group_IT_number 139
_space_group_name_Hall '-I 4 2'
_cell_length_a 4.6309
_cell_length_b 4.6309
_cell_length_c 7.4787
_cell_angle_alpha 90.00
_cell_angle_beta 90.00
_cell_angle_gamma 90.00
loop_
_atom_site_label
_atom_site_type_symbol
_atom_site_fract_x
_atom_site_fract_y
_atom_site_fract_z
Al1 Al 0.0000 0.0000 0.0000
Cu1 Cu 0.0000 0.0000 0.5000
Sb1 Sb 0.0000 0.5000 0.2500

---

Order from most stable to least stable according to the calculation: (P), (Q)

---

(P)
# Al2CuTc | Alexandria | SCAN | single point on PBEsol structure
# V ... 53.8 Å³/cell
data_Al2CuTc
_space_group_name_H-M_alt 'P 4/m m m'
_space_group_IT_number 123
_space_group_name_Hall '-P 4 2'
_cell_length_a 3.0858
_cell_length_b 3.0858
_cell_length_c 5.6462
_cell_angle_alpha 90.00
_cell_angle_beta 90.00
_cell_angle_gamma 90.00
loop_
_atom_site_label
_atom_site_type_symbol
_atom_site_fract_x
_atom_site_fract_y
_atom_site_fract_z
Al1 Al 0.0000 0.0000 0.2420
Cu1 Cu 0.5000 0.5000 0.5000
Tc1 Tc 0.5000 0.5000 0.0000

---

(Q)
# Al2CuTc | Alexandria | SCAN | single point on PBEsol structure
# V ... 106.5 Å³/cell
data_Al2CuTc
_space_group_name_H-M_alt 'I -4 m 2'
_space_group_IT_number 119
_space_group_name_Hall 'I -4 -2'
_cell_length_a 3.5494
_cell_length_b 3.5494
_cell_length_c 8.4533
_cell_angle_alpha 90.00
_cell_angle_beta 90.00
_cell_angle_gamma 90.00
loop_
_atom_site_label
_atom_site_type_symbol
_atom_site_fract_x
_atom_site_fract_y
_atom_site_fract_z
Al1 Al 0.0000 0.0000 0.0000
Al2 Al 0.0000 0.5000 0.2500
Cu1 Cu 0.0000 0.0000 0.5000
Tc1 Tc 0.0000 0.5000 0.7500

---

Order from most stable to least stable according to the calculation: (Q), (P)

---

(P)
# Al2CuTc | Alexandria | SCAN | single point on PBEsol structure
# V ... 165.9 Å³/cell
data_Al2CuTc
_space_group_name_H-M_alt 'R -3 m'
_space_group_IT_number 166
_space_group_name_Hall '-R 3 2"'
_cell_length_a 2.7685
_cell_length_b 2.7685
_cell_length_c 24.9899
_cell_angle_alpha 90.00
_cell_angle_beta 90.00
_cell_angle_gamma 120.00
loop_
_atom_site_label
_atom_site_type_symbol
_atom_site_fract_x
_atom_site_fract_y
_atom_site_fract_z
Al1 Al 0.0000 0.0000 0.2488
Cu1 Cu 0.0000 0.0000 0.5000
Tc1 Tc 0.0000 0.0000 0.0000

---

(Q)
# Al2CuTc | Alexandria | SCAN | single point on PBEsol structure
# V ... 168.3 Å³/cell
data_Al2CuTc
_space_group_name_H-M_alt 'R 3 m'
_space_group_IT_number 160
_space_group_name_Hall 'R 3 -2"'
_cell_length_a 2.7684
_cell_length_b 2.7684
_cell_length_c 25.3515
_cell_angle_alpha 90.00
_cell_angle_beta 90.00
_cell_angle_gamma 120.00
loop_
_atom_site_label
_atom_site_type_symbol
_atom_site_fract_x
_atom_site_fract_y
_atom_site_fract_z
Al1 Al 0.0000 0.0000 0.0000
Al2 Al 0.0000 0.0000 0.2423
Cu1 Cu 0.0000 0.0000 0.7440
Tc1 Tc 0.0000 0.0000 0.4938

---

Order from most stable to least stable according to the calculation: (P), (Q)

---

(P)
# AlCuTc | Alexandria | SCAN | single point on PBEsol structure
# V ... 179.9 Å³/cell
data_AlCuTc
_space_group_name_H-M_alt 'F -4 3 m'
_space_group_IT_number 216
_space_group_name_Hall 'F -4 2 3'
_cell_length_a 5.6455
_cell_length_b 5.6455
_cell_length_c 5.6455
_cell_angle_alpha 90.00
_cell_angle_beta 90.00
_cell_angle_gamma 90.00
loop_
_atom_site_label
_atom_site_type_symbol
_atom_site_fract_x
_atom_site_fract_y
_atom_site_fract_z
Al1 Al 0.0000 0.0000 0.0000
Cu1 Cu 0.2500 0.2500 0.2500
Tc1 Tc 0.0000 0.0000 0.5000

---

(Q)
# AlCuTc | Alexandria | SCAN | single point on PBEsol structure
# V ... 79.1 Å³/cell
data_AlCuTc
_space_group_name_H-M_alt 'I 4 m m'
_space_group_IT_number 107
_space_group_name_Hall 'I 4 -2'
_cell_length_a 2.6979
_cell_length_b 2.6979
_cell_length_c 10.8616
_cell_angle_alpha 90.00
_cell_angle_beta 90.00
_cell_angle_gamma 90.00
loop_
_atom_site_label
_atom_site_type_symbol
_atom_site_fract_x
_atom_site_fract_y
_atom_site_fract_z
Al1 Al 0.0000 0.0000 0.0000
Cu1 Cu 0.0000 0.0000 0.6581
Tc1 Tc 0.0000 0.0000 0.3274

---

Order from most stable to least stable according to the calculation: (Q), (P)

---

(P)
# Al2TlCu | Alexandria | SCAN | single point on PBEsol structure
# V ... 76.0 Å³/cell
data_Al2TlCu
_space_group_name_H-M_alt 'P 1 2/m 1'
_space_group_IT_number 10
_space_group_name_Hall '-P 2y'
_cell_length_a 3.7205
_cell_length_b 4.2785
_cell_length_c 4.9731
_cell_angle_alpha 90.00
_cell_angle_beta 106.33
_cell_angle_gamma 90.00
loop_
_atom_site_label
_atom_site_type_symbol
_atom_site_fract_x
_atom_site_fract_y
_atom_site_fract_z
Al1 Al 0.1488 0.0000 0.2836
Tl1 Tl 0.5000 0.5000 0.0000
Cu1 Cu 0.0000 0.5000 0.5000

---

(Q)
# Al2TlCu | Alexandria | SCAN | single point on PBEsol structure
# V ... 139.7 Å³/cell
data_Al2TlCu
_space_group_name_H-M_alt 'I -4 m 2'
_space_group_IT_number 119
_space_group_name_Hall 'I -4 -2'
_cell_length_a 4.1182
_cell_length_b 4.1182
_cell_length_c 8.2375
_cell_angle_alpha 90.00
_cell_angle_beta 90.00
_cell_angle_gamma 90.00
loop_
_atom_site_label
_atom_site_type_symbol
_atom_site_fract_x
_atom_site_fract_y
_atom_site_fract_z
Al1 Al 0.0000 0.0000 0.0000
Al2 Al 0.0000 0.5000 0.2500
Tl1 Tl 0.0000 0.5000 0.7500
Cu1 Cu 0.0000 0.0000 0.5000

---

Order from most stable to least stable according to the calculation: (P), (Q)

---

(P)
# GdErAl6 | Alexandria | SCAN | single point on PBEsol structure
# V ... 1355.5 Å³/cell
data_GdErAl6
_space_group_name_H-M_alt 'R 3 m'
_space_group_IT_number 160
_space_group_name_Hall 'R 3 -2"'
_cell_length_a 6.0884
_cell_length_b 6.0884
_cell_length_c 42.2251
_cell_angle_alpha 90.00
_cell_angle_beta 90.00
_cell_angle_gamma 120.00
loop_
_atom_site_label
_atom_site_type_symbol
_atom_site_fract_x
_atom_site_fract_y
_atom_site_fract_z
Gd1 Gd 0.0000 0.0000 0.0000
Gd2 Gd 0.0000 0.0000 0.2187
Gd3 Gd 0.0000 0.0000 0.7191
Er1 Er 0.0000 0.0000 0.1096
Er2 Er 0.0000 0.0000 0.5000
Er3 Er 0.0000 0.0000 0.6094
Al1 Al 0.0002 0.5001 0.6093
Al2 Al 0.0008 0.5004 0.1097
Al3 Al 0.0330 0.5165 0.9979
Al4 Al 0.0337 0.5168 0.4979
Al5 Al 0.1832 0.3663 0.0545
Al6 Al 0.1829 0.3658 0.5541

---

(Q)
# GdErAl6 | Alexandria | SCAN | single point on PBEsol structure
# V ... 299.7 Å³/cell
data_GdErAl6
_space_group_name_H-M_alt 'P 63/m m c'
_space_group_IT_number 194
_space_group_name_Hall '-P 6c 2c'
_cell_length_a 6.0527
_cell_length_b 6.0527
_cell_length_c 9.4476
_cell_angle_alpha 90.00
_cell_angle_beta 90.00
_cell_angle_gamma 120.00
loop_
_atom_site_label
_atom_site_type_symbol
_atom_site_fract_x
_atom_site_fract_y
_atom_site_fract_z
Gd1 Gd 0.0000 0.0000 0.0000
Er1 Er 0.3333 0.6667 0.2500
Al1 Al 0.0000 0.5000 0.0000
Al2 Al 0.1816 0.3633 0.7500

---

Order from most stable to least stable according to the calculation: (Q), (P)

---

(P)
# AlMoF2 | Alexandria | SCAN | single point on PBEsol structure
# V ... 151.8 Å³/cell
data_AlMoF2
_space_group_name_H-M_alt 'R -3 m'
_space_group_IT_number 166
_space_group_name_Hall '-R 3 2"'
_cell_length_a 3.3550
_cell_length_b 3.3550
_cell_length_c 15.5677
_cell_angle_alpha 90.00
_cell_angle_beta 90.00
_cell_angle_gamma 120.00
loop_
_atom_site_label
_atom_site_type_symbol
_atom_site_fract_x
_atom_site_fract_y
_atom_site_fract_z
Al1 Al 0.0000 0.0000 0.0000
Mo1 Mo 0.0000 0.0000 0.5000
F1 F 0.0000 0.0000 0.3630

---

(Q)
# AlMoF2 | Alexandria | SCAN | single point on PBEsol structure
# V ... 193.6 Å³/cell
data_AlMoF2
_space_group_name_H-M_alt 'F m -3 m'
_space_group_IT_number 225
_space_group_name_Hall '-F 4 2 3'
_cell_length_a 5.7854
_cell_length_b 5.7854
_cell_length_c 5.7854
_cell_angle_alpha 90.00
_cell_angle_beta 90.00
_cell_angle_gamma 90.00
loop_
_atom_site_label
_atom_site_type_symbol
_atom_site_fract_x
_atom_site_fract_y
_atom_site_fract_z
Al1 Al 0.0000 0.0000 0.0000
Mo1 Mo 0.0000 0.0000 0.5000
F1 F 0.2500 0.2500 0.2500

---

Order from most stable to least stable according to the calculation: (P), (Q)

---

(P)
# AlNF2 | Alexandria | SCAN | single point on PBEsol structure
# V ... 237.1 Å³/cell
data_AlNF2
_space_group_name_H-M_alt 'I 41/a m d'
_space_group_IT_number 141
_cell_length_a 5.1498
_cell_length_b 5.1498
_cell_length_c 8.9403
_cell_angle_alpha 90.00
_cell_angle_beta 90.00
_cell_angle_gamma 90.00
loop_
_space_group_symop_operation_xyz
'x,y,z'
'-x,-y,-z'
'-y+1/4,x+3/4,z+1/4'
'y+1/4,-x+3/4,-z+1/4'
'-x+1/2,-y,z+1/2'
'x+1/2,y,-z+1/2'
'y+1/4,-x+1/4,z+3/4'
'-y+1/4,x+1/4,-z+3/4'
'x,-y,-z'
'-x,y,z'
'-y+1/4,-x+1/4,-z+3/4'
'y+1/4,x+1/4,z+3/4'
'-x+1/2,y,-z+1/2'
'x+1/2,-y,z+1/2'
'y+1/4,x+3/4,-z+1/4'
'-y+1/4,-x+3/4,z+1/4'
'x+1/2,y+1/2,z+1/2'
'-x+1/2,-y+1/2,-z+1/2'
'-y+3/4,x+1/4,z+3/4'
'y+3/4,-x+1/4,-z+3/4'
'-x,-y+1/2,z'
'x,y+1/2,-z'
'y+3/4,-x+3/4,z+1/4'
'-y+3/4,x+3/4,-z+1/4'
'x+1/2,-y+1/2,-z+1/2'
'-x+1/2,y+1/2,z+1/2'
'-y+3/4,-x+3/4,-z+1/4'
'y+3/4,x+3/4,z+1/4'
'-x,y+1/2,-z'
'x,-y+1/2,z'
'y+3/4,x+1/4,-z+3/4'
'-y+3/4,-x+1/4,z+3/4'
loop_
_atom_site_label
_atom_site_type_symbol
_atom_site_fract_x
_atom_site_fract_y
_atom_site_fract_z
Al1 Al 0.0000 0.2500 0.3750
N1 N 0.0000 0.2500 0.8750
F1 F 0.0000 0.0000 0.5000

---

(Q)
# AlNF2 | Alexandria | SCAN | single point on PBEsol structure
# V ... 190.7 Å³/cell
data_AlNF2
_space_group_name_H-M_alt 'R -3 m'
_space_group_IT_number 166
_space_group_name_Hall '-R 3 2"'
_cell_length_a 3.2270
_cell_length_b 3.2270
_cell_length_c 21.1428
_cell_angle_alpha 90.00
_cell_angle_beta 90.00
_cell_angle_gamma 120.00
loop_
_atom_site_label
_atom_site_type_symbol
_atom_site_fract_x
_atom_site_fract_y
_atom_site_fract_z
Al1 Al 0.0000 0.0000 0.0000
N1 N 0.0000 0.0000 0.5000
F1 F 0.0000 0.0000 0.3721

---

Order from most stable to least stable according to the calculation: (P), (Q)

---

(P)
# Na3Al2P2O8F3 | Alexandria | SCAN | single point on PBEsol structure
# V ... 401.9 Å³/cell
data_Na3Al2P2O8F3
_space_group_name_H-M_alt 'P 1 m 1'
_space_group_IT_number 6
_space_group_name_Hall 'P -2y'
_cell_length_a 6.2269
_cell_length_b 10.3643
_cell_length_c 6.2281
_cell_angle_alpha 90.00
_cell_angle_beta 90.07
_cell_angle_gamma 90.00
loop_
_atom_site_label
_atom_site_type_symbol
_atom_site_fract_x
_atom_site_fract_y
_atom_site_fract_z
Na1 Na 0.0000 0.0000 0.0000
Na2 Na 0.0261 0.5000 0.4563
Na3 Na 0.4239 0.5000 0.0274
Na4 Na 0.5004 0.5000 0.4994
Na5 Na 0.5262 0.0000 0.9563
Na6 Na 0.9261 0.0000 0.5282
Al1 Al 0.2722 0.1802 0.2850
Al2 Al 0.7723 0.3198 0.7852
P1 P 0.2632 0.2499 0.7751
P2 P 0.7632 0.2501 0.2752
O1 O 0.0701 0.3424 0.7778
O2 O 0.2541 0.1582 0.5816
O3 O 0.2677 0.1640 0.9780
O4 O 0.4659 0.3360 0.7693
O5 O 0.5698 0.1578 0.2776
O6 O 0.7543 0.3419 0.0818
O7 O 0.7679 0.3359 0.4781
O8 O 0.9658 0.1639 0.2694
F1 F 0.2592 0.0000 0.2709
F2 F 0.2798 0.3563 0.2921
F3 F 0.7591 0.5000 0.7709
F4 F 0.7802 0.1437 0.7924

---

(Q)
# Na3Al2P2O8F3 | Alexandria | SCAN | single point on PBEsol structure
# V ... 805.5 Å³/cell
data_Na3Al2P2O8F3
_space_group_name_H-M_alt 'C m c 21'
_space_group_IT_number 36
_space_group_name_Hall 'C 2c -2'
_cell_length_a 10.4137
_cell_length_b 8.8024
_cell_length_c 8.7875
_cell_angle_alpha 90.00
_cell_angle_beta 90.00
_cell_angle_gamma 90.00
loop_
_atom_site_label
_atom_site_type_symbol
_atom_site_fract_x
_atom_site_fract_y
_atom_site_fract_z
Na1 Na 0.0000 0.0251 0.0000
Na2 Na 0.0000 0.2744 0.7681
Na3 Na 0.0000 0.3741 0.1429
Al1 Al 0.1790 0.2541 0.4837
P1 P 0.2462 0.0022 0.7384
O1 O 0.1573 0.1036 0.6407
O2 O 0.1597 0.0955 0.3405
O3 O 0.1611 0.3985 0.3316
O4 O 0.1655 0.4047 0.6363
F1 F 0.0000 0.2533 0.4910
F2 F 0.1449 0.2455 0.9823

---

Order from most stable to least stable according to the calculation: (Q), (P)

---

(P)
# SrAlF2 | Alexandria | SCAN | single point on PBEsol structure
# V ... 206.4 Å³/cell
data_SrAlF2
_space_group_name_H-M_alt 'R -3 m'
_space_group_IT_number 166
_space_group_name_Hall '-R 3 2"'
_cell_length_a 4.3123
_cell_length_b 4.3123
_cell_length_c 12.8171
_cell_angle_alpha 90.00
_cell_angle_beta 90.00
_cell_angle_gamma 120.00
loop_
_atom_site_label
_atom_site_type_symbol
_atom_site_fract_x
_atom_site_fract_y
_atom_site_fract_z
Sr1 Sr 0.0000 0.0000 0.0000
Al1 Al 0.0000 0.0000 0.5000
F1 F 0.0000 0.0000 0.1986

---

(Q)
# SrAlF2 | Alexandria | SCAN | single point on PBEsol structure
# V ... 396.2 Å³/cell
data_SrAlF2
_space_group_name_H-M_alt 'I -4 2 d'
_space_group_IT_number 122
_space_group_name_Hall 'I -4 2bw'
_cell_length_a 5.8369
_cell_length_b 5.8369
_cell_length_c 11.6279
_cell_angle_alpha 90.00
_cell_angle_beta 90.00
_cell_angle_gamma 90.00
loop_
_atom_site_label
_atom_site_type_symbol
_atom_site_fract_x
_atom_site_fract_y
_atom_site_fract_z
Sr1 Sr 0.0000 0.0000 0.0000
Al1 Al 0.0000 0.0000 0.5000
F1 F 0.1772 0.2500 0.1250

---

Order from most stable to least stable according to the calculation: (Q), (P)

---

(P)
# AlFe5 | Alexandria | SCAN | single point on PBEsol structure
# V ... 133.0 Å³/cell
data_AlFe5
_space_group_name_H-M_alt 'C 1 2/m 1'
_space_group_IT_number 12
_space_group_name_Hall '-C 2y'
_cell_length_a 8.8448
_cell_length_b 2.8220
_cell_length_c 5.6220
_cell_angle_alpha 90.00
_cell_angle_beta 108.57
_cell_angle_gamma 90.00
loop_
_atom_site_label
_atom_site_type_symbol
_atom_site_fract_x
_atom_site_fract_y
_atom_site_fract_z
Al1 Al 0.0000 0.0000 0.0000
Fe1 Fe 0.0000 0.0000 0.5000
Fe2 Fe 0.1689 0.5000 0.3433
Fe3 Fe 0.1745 0.5000 0.8298

---

(Q)
# AlFe5 | Alexandria | SCAN | single point on PBEsol structure
# V ... 66.2 Å³/cell
data_AlFe5
_space_group_name_H-M_alt 'P 4/m m m'
_space_group_IT_number 123
_space_group_name_Hall '-P 4 2'
_cell_length_a 2.8030
_cell_length_b 2.8030
_cell_length_c 8.4264
_cell_angle_alpha 90.00
_cell_angle_beta 90.00
_cell_angle_gamma 90.00
loop_
_atom_site_label
_atom_site_type_symbol
_atom_site_fract_x
_atom_site_fract_y
_atom_site_fract_z
Al1 Al 0.0000 0.0000 0.0000
Fe1 Fe 0.0000 0.0000 0.3347
Fe2 Fe 0.5000 0.5000 0.1801
Fe3 Fe 0.5000 0.5000 0.5000

---

Order from most stable to least stable according to the calculation: (P), (Q)